Below is LaSm2HoSe4 after structural relaxation, with properties calculated at the PBE level.

Computed properties:
- raw total energy (eV/atom) = -5.94
- E_form (uncorrected) (meV per atom) = -1831

Cell and atoms, written as POSCAR:
```
LaSm2HoSe4
1.0
7.212 0.000 0.000
0.000 4.131 0.000
-2.370 0.000 6.940
La Sm Ho Se
1 2 1 4
Cartesian
0.000 0.000 0.000 La
2.421 0.000 3.470 Sm
3.606 2.065 0.000 Sm
-1.185 2.065 3.470 Ho
0.016 0.000 5.129 Se
1.204 2.065 1.809 Se
3.639 2.065 5.131 Se
4.826 0.000 1.812 Se
```